Record 1
Below is a relaxed Al2CrSe crystal, with properties calculated at the PBE level.

Structure (POSCAR):
```
Al2CrSe
1.0
-0.007 -5.047 -6.353
-1.538 -6.724 -4.272
-3.029 -4.613 -5.948
Cr Se Al
1 1 2
direct
0.250 0.250 0.250
0.750 0.750 0.750
0.502 0.502 0.502
0.998 0.998 0.998
```

formation energy without anion corrections: 102 meV per atom
space group: R-3m (166)


Record 2
Below is a relaxed DyH3O3 crystal, with properties calculated at the PBE level.

Structure (POSCAR):
```
DyH3O3
1.0
6.342 0.000 0.000
-3.171 5.492 0.000
0.000 0.000 3.544
H Dy O
6 2 6
direct
0.141 0.279 0.750
0.138 0.859 0.750
0.859 0.721 0.250
0.862 0.141 0.250
0.279 0.138 0.250
0.721 0.862 0.750
0.667 0.333 0.750
0.333 0.667 0.250
0.312 0.915 0.750
0.688 0.085 0.250
0.085 0.397 0.750
0.397 0.312 0.250
0.915 0.603 0.250
0.603 0.688 0.750
```

space group: P6_3/m (176)


no.,density (g cm⁻³),N(E_F) (states/eV/f.u.),total DFT energy (no corrections) (eV/f.u.)
1,4.722,1.8,-20.19
2,5.745,0.0,-43.28